No. 1
Tb2TlAg3 | PBE | optimized geometry

Unit cell a=6.693 b=9.744 c=17.067 alpha=90.00 beta=90.00 gamma=90.00
Space group Fmmm (No. 69)
Unique sites:
Tb 0.245 0.000 0.000 (multiplicity 8)
Tb 0.250 0.250 0.250 (multiplicity 8)
Tl 0.000 0.000 0.334 (multiplicity 8)
Ag 0.000 0.000 0.165 (multiplicity 8)
Ag 0.000 0.247 0.082 (multiplicity 16)

Summary:
Distance to the lowest polymorph of the same formula: 0.000 eV per atom



No. 2
Tb6Tl2Ag | PBE | optimized geometry

Unit cell a=16.197 b=7.336 c=5.129 alpha=90.00 beta=108.35 gamma=90.00
Space group C2/m (No. 12)
Unique sites:
Tb 0.000 0.239 0.000 (multiplicity 4)
Tb 0.162 0.244 0.662 (multiplicity 8)
Tl 0.167 0.500 0.167 (multiplicity 4)
Ag 0.000 0.000 0.500 (multiplicity 2)

Summary:
DFT total energy: -3.9314 eV/atom



No. 3
Tb2TlAg3 | PBE | optimized geometry

Unit cell a=3.965 b=4.056 c=18.806 alpha=90.00 beta=90.00 gamma=90.00
Space group Imm2 (No. 44)
Unique sites:
Tb 0.000 0.000 0.000 (multiplicity 2)
Tb 0.000 0.500 0.221 (multiplicity 2)
Tl 0.000 0.000 0.404 (multiplicity 2)
Ag 0.000 0.000 0.561 (multiplicity 2)
Ag 0.000 0.500 0.655 (multiplicity 2)
Ag 0.000 0.500 0.800 (multiplicity 2)

Summary:
Distance to the lowest polymorph of the same formula: 0.104 eV per atom



What is the formula in the first record?
Tb2TlAg3